# 1
The following is a SCAN calculation of ZnCoF5 at its PBEsol-relaxed geometry, from Alexandria.

Computed properties:
The calculation puts the total energy at -9.15 eV per atom.

a b c (Å): 5.212 5.212 7.322
angles (deg): 97.62 111.00 108.08
Last column: magnetic moment on the atom in μB.
Atoms (fractional coordinates):
1 Co 0.001 0.000 0.002  3.19
2 Co 0.501 0.001 0.502  3.19
3 F 0.854 0.198 0.136  0.17
4 F 0.148 0.803 0.868  0.17
5 F 0.375 0.125 0.252  0.14
6 F 0.239 0.336 0.962  0.10
7 F 0.876 0.279 0.541  0.09
8 F 0.565 0.721 0.368  0.17
9 F 0.127 0.724 0.462  0.10
10 F 0.627 0.877 0.752  0.14
11 F 0.438 0.282 0.636  0.17
12 F 0.762 0.665 0.041  0.09
13 Zn 0.719 0.468 0.252  0.03
14 Zn 0.284 0.533 0.752  0.03

# 2
The following is a SCAN calculation of Be2HgW at its PBEsol-relaxed geometry, from Alexandria.

Computed properties:
The density of states at the Fermi level is 1.61 states/eV per cell. The calculation puts the total energy at -36.26 eV per atom.

a b c (Å): 2.783 3.373 5.764
angles (deg): 90.00 90.00 90.00
Atoms (fractional coordinates):
1 Be 0.000 0.000 0.299
2 Be 0.000 0.000 0.701
3 W 0.500 0.500 0.500
4 Hg 0.500 0.500 0.000

# 3
The following is a SCAN calculation of PdCI2N at its PBEsol-relaxed geometry, from Alexandria.

Computed properties:
The calculation puts the distance to the lowest polymorph of the same formula at 0 meV per atom. The density of states at the Fermi level is 3.67 states/eV per cell. The calculation puts the total energy at -23.95 eV per atom.

a b c (Å): 2.641 6.114 6.114
angles (deg): 90.00 90.00 90.00
Last column: magnetic moment on the atom in μB.
Atoms (fractional coordinates):
1 I 0.000 0.500 0.000  0.01
2 I 0.000 0.000 0.500  0.01
3 Pd 0.500 0.500 0.500  0.27
4 N 0.500 0.000 0.000  0.00
5 C 0.000 0.000 0.000  0.00